# CrAgTeO6 (PBE with a Hubbard U, relaxed)
data_CrAgTeO6
_chemical_formula_sum 'Cr2 Ag2 Te2 O12'
_cell_length_a 5.1891
_cell_length_b 5.1891
_cell_length_c 9.5200
_cell_angle_alpha 90.00
_cell_angle_beta 90.00
_cell_angle_gamma 120.00
_symmetry_space_group_name_H-M 'P -3 1 c'
_symmetry_Int_Tables_number 163
_symmetry_space_group_name_Hall '-P 3 2c'
loop_
_atom_site_label
_atom_site_fract_x
_atom_site_fract_y
_atom_site_fract_z
Cr1 0.3333 0.6667 0.2500
Ag1 0.0000 0.0000 0.0000
Te1 0.3333 0.6667 0.7500
O1 0.9999 0.3716 0.1372
# - Uncorrected energy: -5.72 eV/atom